PuTh4P6 | Alexandria via LeMat-Bulk | PBE | relaxed; ΔE_f = -13.611 eV per formula unit; SG = No. 167; electronic total energy = -180.2 eV for the cell shown
1.0
5.659 3.267 4.683
-5.659 3.267 4.683
0.000 -6.534 4.683
Pu Th P
2 8 12
Direct
0.000 0.000 0.000 Pu
0.500 0.500 0.500 Pu
0.130 0.750 0.370 Th
0.250 0.250 0.250 Th
0.250 0.630 0.870 Th
0.370 0.130 0.750 Th
0.630 0.870 0.250 Th
0.750 0.370 0.130 Th
0.750 0.750 0.750 Th
0.870 0.250 0.630 Th
0.066 0.915 0.681 P
0.085 0.319 0.934 P
0.181 0.415 0.566 P
0.319 0.934 0.085 P
0.415 0.566 0.181 P
0.434 0.819 0.585 P
0.566 0.181 0.415 P
0.585 0.434 0.819 P
0.681 0.066 0.915 P
0.819 0.585 0.434 P
0.915 0.681 0.066 P
0.934 0.085 0.319 P



PuTh2P | Alexandria via LeMat-Bulk | PBE | relaxed; ΔE_f = -0.942 eV per formula unit; SG = No. 166; electronic total energy = -35.5 eV for the cell shown
1.0
1.873 1.081 10.074
-1.873 1.081 10.074
0.000 -2.162 10.074
Pu Th P
1 2 1
Direct
0.000 0.000 0.000 Pu
0.107 0.107 0.107 Th
0.893 0.893 0.893 Th
0.500 0.500 0.500 P



PuTh2P3 | Alexandria via LeMat-Bulk | PBE | relaxed; ΔE_f = -8.626 eV per formula unit; SG = No. 71; electronic total energy = -54.0 eV for the cell shown
1.0
-2.060 2.905 6.140
2.060 -2.905 6.140
2.060 2.905 -6.140
Pu Th P
1 2 3
Direct
0.000 0.000 0.000 Pu
0.332 0.332 0.000 Th
0.668 0.668 0.000 Th
0.162 0.662 0.500 P
0.500 0.000 0.500 P
0.838 0.338 0.500 P



PuThP2 | Alexandria via LeMat-Bulk | PBE | relaxed; ΔE_f = -4.554 eV per formula unit; SG = No. 164; excess energy over the best structure of this formula in the dataset = 238 meV/atom; electronic total energy = -37.1 eV for the cell shown
1.0
4.077 0.000 0.000
-2.038 3.530 0.000
0.000 0.000 6.910
Pu Th P
1 1 2
Direct
0.000 0.000 0.000 Pu
0.000 0.000 0.500 Th
0.333 0.667 0.243 P
0.667 0.333 0.757 P



PuThP2 | Alexandria via LeMat-Bulk | PBE | relaxed; ΔE_f = -5.251 eV per formula unit; SG = No. 194; excess energy over the best structure of this formula in the dataset = 64 meV/atom; electronic total energy = -75.6 eV for the cell shown
1.0
4.070 0.000 0.000
-2.035 3.525 0.000
0.000 0.000 13.500
Pu Th P
2 2 4
Direct
0.333 0.667 0.250 Pu
0.667 0.333 0.750 Pu
0.000 0.000 0.000 Th
0.000 0.000 0.500 Th
0.333 0.667 0.627 P
0.333 0.667 0.873 P
0.667 0.333 0.127 P
0.667 0.333 0.373 P



PuThP2 | Alexandria via LeMat-Bulk | PBE | relaxed; ΔE_f = -4.775 eV per formula unit; SG = No. 160; excess energy over the best structure of this formula in the dataset = 183 meV/atom; electronic total energy = -37.3 eV for the cell shown
1.0
2.004 1.157 6.976
-2.004 1.157 6.976
0.000 -2.314 6.976
Pu Th P
1 1 2
Direct
0.000 0.000 0.000 Pu
0.827 0.827 0.827 Th
0.409 0.409 0.409 P
0.584 0.584 0.584 P



Tm3PuTh2P6 | Alexandria via LeMat-Bulk | PBE | relaxed; ΔE_f = -18.169 eV per formula unit; SG = No. 12; electronic total energy = -93.2 eV for the cell shown
1.0
8.771 -2.021 0.000
8.771 2.021 0.000
-1.807 0.000 7.825
Tm Pu Th P
3 1 2 6
Direct
0.000 0.000 0.000 Tm
0.333 0.333 0.666 Tm
0.667 0.667 0.334 Tm
0.000 0.000 0.500 Pu
0.335 0.335 0.170 Th
0.665 0.665 0.830 Th
0.165 0.165 0.089 P
0.168 0.168 0.576 P
0.497 0.497 0.750 P
0.503 0.503 0.250 P
0.832 0.832 0.424 P
0.835 0.835 0.911 P



Tm2PuThP4 | Alexandria via LeMat-Bulk | PBE | relaxed; ΔE_f = -11.858 eV per formula unit; SG = No. 10; electronic total energy = -64.2 eV for the cell shown
1.0
6.938 0.000 0.000
0.000 4.029 0.000
-2.341 0.000 6.551
Tm Pu Th P
2 1 1 4
Direct
0.000 0.000 0.000 Tm
0.000 0.500 0.500 Tm
0.500 0.000 0.500 Pu
0.500 0.500 0.000 Th
0.241 0.000 0.744 P
0.246 0.500 0.253 P
0.754 0.500 0.747 P
0.759 0.000 0.256 P



TmPuTh2P4 | Alexandria via LeMat-Bulk | PBE | relaxed; ΔE_f = -11.793 eV per formula unit; SG = No. 10; electronic total energy = -67.1 eV for the cell shown
1.0
7.008 0.000 0.000
0.000 4.086 0.000
-2.382 0.000 6.639
Tm Pu Th P
1 1 2 4
Direct
0.000 0.000 0.000 Tm
0.000 0.500 0.500 Pu
0.500 0.000 0.500 Th
0.500 0.500 0.000 Th
0.240 0.000 0.747 P
0.240 0.500 0.245 P
0.760 0.000 0.253 P
0.760 0.500 0.755 P



TmPu2ThP4 | Alexandria via LeMat-Bulk | PBE | relaxed; ΔE_f = -10.804 eV per formula unit; SG = No. 10; electronic total energy = -73.0 eV for the cell shown
1.0
6.960 0.000 0.000
0.000 4.046 0.000
-2.361 0.000 6.564
Tm Pu Th P
1 2 1 4
Direct
0.000 0.000 0.000 Tm
0.500 0.000 0.500 Pu
0.500 0.500 0.000 Pu
0.000 0.500 0.500 Th
0.253 0.500 0.247 P
0.256 0.000 0.760 P
0.744 0.000 0.240 P
0.747 0.500 0.753 P



PuTh2UP4 | Alexandria via LeMat-Bulk | PBE | relaxed; ΔE_f = -10.434 eV per formula unit; SG = No. 10; electronic total energy = -72.5 eV for the cell shown
1.0
6.984 0.000 0.000
0.000 4.058 0.000
-2.359 0.000 6.666
Pu Th U P
1 2 1 4
Direct
0.000 0.000 0.000 Pu
0.500 0.000 0.500 Th
0.500 0.500 0.000 Th
0.000 0.500 0.500 U
0.236 0.000 0.742 P
0.237 0.500 0.248 P
0.763 0.500 0.752 P
0.764 0.000 0.258 P



Pu2ThUP4 | Alexandria via LeMat-Bulk | PBE | relaxed; ΔE_f = -9.520 eV per formula unit; SG = No. 119; electronic total energy = -78.5 eV for the cell shown
1.0
-2.847 2.847 5.695
2.847 -2.847 5.695
2.847 2.847 -5.695
Pu Th U P
2 1 1 4
Direct
0.000 0.000 0.000 Pu
0.750 0.250 0.500 Pu
0.250 0.750 0.500 Th
0.500 0.500 0.000 U
0.256 0.256 0.000 P
0.505 0.005 0.500 P
0.744 0.744 0.000 P
0.995 0.495 0.500 P



YPuTh2P4 | Alexandria via LeMat-Bulk | PBE | relaxed; ΔE_f = -11.892 eV per formula unit; SG = No. 10; electronic total energy = -69.2 eV for the cell shown
1.0
7.040 0.000 0.000
0.000 4.101 0.000
-2.389 0.000 6.666
Y Pu Th P
1 1 2 4
Direct
0.000 0.000 0.000 Y
0.000 0.500 0.500 Pu
0.500 0.000 0.500 Th
0.500 0.500 0.000 Th
0.242 0.000 0.746 P
0.244 0.500 0.248 P
0.756 0.500 0.752 P
0.758 0.000 0.254 P



Y3PuTh2P6 | Alexandria via LeMat-Bulk | PBE | relaxed; ΔE_f = -18.402 eV per formula unit; SG = No. 12; electronic total energy = -99.4 eV for the cell shown
1.0
8.846 -2.036 0.000
8.846 2.036 0.000
-1.835 0.000 7.891
Y Pu Th P
3 1 2 6
Direct
0.000 0.000 0.000 Y
0.333 0.333 0.666 Y
0.667 0.667 0.334 Y
0.000 0.000 0.500 Pu
0.335 0.335 0.170 Th
0.665 0.665 0.830 Th
0.166 0.166 0.086 P
0.167 0.167 0.579 P
0.498 0.498 0.747 P
0.502 0.502 0.253 P
0.833 0.833 0.421 P
0.834 0.834 0.914 P



Y2PuThP4 | Alexandria via LeMat-Bulk | PBE | relaxed; ΔE_f = -12.002 eV per formula unit; SG = No. 10; electronic total energy = -68.3 eV for the cell shown
1.0
7.002 0.000 0.000
0.000 4.059 0.000
-2.355 0.000 6.603
Y Pu Th P
2 1 1 4
Direct
0.000 0.000 0.000 Y
0.000 0.500 0.500 Y
0.500 0.000 0.500 Pu
0.500 0.500 0.000 Th
0.246 0.000 0.746 P
0.251 0.500 0.255 P
0.749 0.500 0.745 P
0.754 0.000 0.254 P



Pu3Th2ZrP6 | Alexandria via LeMat-Bulk | PBE | relaxed; ΔE_f = -15.834 eV per formula unit; SG = No. 12; electronic total energy = -114.7 eV for the cell shown
1.0
8.722 -2.013 0.000
8.722 2.013 0.000
-1.757 0.000 7.805
Pu Th Zr P
3 2 1 6
Direct
0.000 0.000 0.000 Pu
0.332 0.332 0.665 Pu
0.668 0.668 0.335 Pu
0.336 0.336 0.171 Th
0.664 0.664 0.829 Th
0.000 0.000 0.500 Zr
0.162 0.162 0.571 P
0.166 0.166 0.090 P
0.496 0.496 0.737 P
0.504 0.504 0.263 P
0.834 0.834 0.910 P
0.838 0.838 0.429 P



Pu2ThZrP4 | Alexandria via LeMat-Bulk | PBE | relaxed; ΔE_f = -10.516 eV per formula unit; SG = No. 10; electronic total energy = -76.8 eV for the cell shown
1.0
6.838 0.000 0.000
0.000 3.990 0.000
-2.307 0.000 6.521
Pu Th Zr P
2 1 1 4
Direct
0.000 0.000 0.000 Pu
0.000 0.500 0.500 Pu
0.500 0.000 0.500 Th
0.500 0.500 0.000 Zr
0.247 0.500 0.234 P
0.255 0.000 0.765 P
0.745 0.000 0.235 P
0.753 0.500 0.766 P



PuTi2P4 | Alexandria via LeMat-Bulk | PBE | relaxed; ΔE_f = -6.065 eV per formula unit; SG = No. 63; electronic total energy = -115.7 eV for the cell shown
1.0
1.834 -5.766 0.000
1.834 5.766 0.000
0.000 0.000 11.615
Pu Ti P
2 4 8
Direct
0.103 0.897 0.750 Pu
0.897 0.103 0.250 Pu
0.365 0.635 0.552 Ti
0.365 0.635 0.948 Ti
0.635 0.365 0.052 Ti
0.635 0.365 0.448 Ti
0.000 0.000 0.000 P
0.000 0.000 0.500 P
0.260 0.740 0.132 P
0.260 0.740 0.368 P
0.426 0.574 0.750 P
0.574 0.426 0.250 P
0.740 0.260 0.632 P
0.740 0.260 0.868 P



PuU2TiP4 | Alexandria via LeMat-Bulk | PBE | relaxed; ΔE_f = -8.175 eV per formula unit; SG = No. 10; electronic total energy = -74.6 eV for the cell shown
1.0
6.652 0.000 0.000
0.000 3.843 0.000
-2.194 0.000 6.303
Pu U Ti P
1 2 1 4
Direct
0.000 0.000 0.000 Pu
0.000 0.500 0.500 U
0.500 0.000 0.500 U
0.500 0.500 0.000 Ti
0.262 0.500 0.240 P
0.269 0.000 0.767 P
0.731 0.000 0.233 P
0.738 0.500 0.760 P



Pu2U3TiP6 | Alexandria via LeMat-Bulk | PBE | relaxed; ΔE_f = -12.434 eV per formula unit; SG = No. 12; electronic total energy = -115.3 eV for the cell shown
1.0
3.343 -5.787 0.000
3.343 5.787 0.000
-2.240 0.000 6.391
Pu U Ti P
2 3 1 6
Direct
0.165 0.835 0.000 Pu
0.835 0.165 0.000 Pu
0.000 0.000 0.500 U
0.329 0.671 0.500 U
0.671 0.329 0.500 U
0.500 0.500 0.000 Ti
0.102 0.420 0.759 P
0.265 0.265 0.248 P
0.420 0.102 0.759 P
0.580 0.898 0.241 P
0.735 0.735 0.752 P
0.898 0.580 0.241 P